# V4Cd3P6O24

A relaxed structure of V4Cd3P6O24 (PBE+U, the Alexandria database).

a b c (Å): 6.565 8.830 8.992
angles (deg): 90.12 108.04 106.99
Element x y z (fractional)
1 V 0.132 0.065 0.382
2 V 0.364 0.621 0.931
3 V 0.636 0.379 0.069
4 V 0.868 0.935 0.618
5 Cd 0.243 0.746 0.252
6 Cd 0.500 0.500 0.500
7 Cd 0.757 0.254 0.748
8 P 0.145 0.355 0.142
9 P 0.253 0.282 0.724
10 P 0.368 0.854 0.641
11 P 0.632 0.146 0.359
12 P 0.747 0.718 0.276
13 P 0.855 0.645 0.858
14 O 0.041 0.152 0.739
15 O 0.090 0.658 0.977
16 O 0.146 0.196 0.209
17 O 0.178 0.940 0.582
18 O 0.212 0.484 0.280
19 O 0.230 0.448 0.748
20 O 0.274 0.260 0.558
21 O 0.321 0.407 0.052
22 O 0.329 0.717 0.520
23 O 0.359 0.795 0.800
24 O 0.403 0.015 0.339
25 O 0.469 0.263 0.848
26 O 0.531 0.737 0.152
27 O 0.597 0.985 0.661
28 O 0.641 0.205 0.200
29 O 0.671 0.283 0.480
30 O 0.679 0.593 0.948
31 O 0.726 0.740 0.442
32 O 0.770 0.552 0.252
33 O 0.788 0.516 0.720
34 O 0.822 0.060 0.418
35 O 0.854 0.804 0.791
36 O 0.910 0.342 0.023
37 O 0.959 0.848 0.261

Computed properties:
- Calculated density: 3.91 g/cm³
- Raw total energy: -7.058 eV/atom